Entry 1:
Density functional theory data (PBE) for an optimized crystal structure of LaZrTl2.

```
LaZrTl2
1.0
5.597 0.000 0.000
0.000 3.485 -0.033
0.000 0.064 5.597
La Tl Zr
1 2 1
Direct
0.500 0.666 0.873
0.000 0.143 0.878
0.500 0.143 0.373
0.000 0.548 0.377
```

DOS(E_F): 2.64 states/eV/f.u.
ΔH_f (0 K): -0.09 eV/atom
Symmetry: Pm, No. 6

---

Entry 2:
Density functional theory data (PBE) for an optimized crystal structure of CsNa2LiPb.

```
CsNa2LiPb
1.0
-3.914 4.247 2.021
-4.678 -3.788 -1.101
0.446 -2.060 5.194
Pb Na Cs Li
1 2 1 1
Direct
0.000 0.000 0.000
0.500 0.000 0.000
0.000 0.500 0.000
0.500 0.500 0.500
0.000 0.000 0.500
```

E above lowest polymorph: 0 meV per atom
DOS(E_F): 0.93 states/eV/f.u.
ΔH_f (0 K): -0.11 eV/atom
Symmetry: P4/mmm, No. 123

---

Entry 3:
Density functional theory data (PBE) for an optimized crystal structure of SrNbRe2.

```
SrNbRe2
1.0
-3.467 -0.842 -3.454
-2.082 -3.429 2.927
-7.927 4.108 3.386
Nb Sr Re
2 2 4
Direct
0.750 0.250 0.500
0.000 0.000 0.000
0.500 0.500 0.000
0.250 0.750 0.500
0.875 0.125 0.750
0.875 0.625 0.250
0.375 0.125 0.750
0.875 0.125 0.250
```

E above lowest polymorph: 198 meV per atom
DOS(E_F): 5.91 states/eV/f.u.
ΔH_f (0 K): 1.16 eV/atom
Symmetry: I4_1/amd, No. 141

---

Entry 4:
Density functional theory data (PBE) for an optimized crystal structure of PrPtF.

```
PrPtF
1.0
4.020 0.000 0.000
0.000 4.180 0.000
0.000 -2.090 3.620
F Pr Pt
1 1 1
Direct
0.167 0.333 0.667
0.166 0.000 0.000
0.667 0.667 0.333
```

E above lowest polymorph: 256 meV per atom
Symmetry: P-6m2, No. 187
E_form (uncorrected): -194.20 kJ/mol of atoms

---

Entry 5:
Density functional theory data (PBE) for an optimized crystal structure of PdSeN2O.

```
PdSeN2O
1.0
3.783 0.000 0.000
0.000 3.783 0.000
0.000 0.000 5.592
N Se Pd O
2 1 1 1
Direct
0.500 0.000 0.000
0.000 0.500 0.000
0.000 0.000 0.500
0.000 0.000 0.000
0.500 0.500 0.500
```

DOS(E_F): 3.65 states/eV/f.u.
Symmetry: P4/mmm, No. 123
E_form (uncorrected): 171.39 kJ/mol of atoms

---

Entry 6:
Density functional theory data (PBE) for an optimized crystal structure of AgRu2Br.

```
AgRu2Br
1.0
-2.465 -1.580 0.516
1.478 -1.674 1.937
-2.102 5.267 6.090
Ru Ag Br
2 1 1
Direct
0.500 0.251 0.217
0.000 0.749 0.038
0.000 0.755 0.460
0.500 0.745 0.784
```

E above lowest polymorph: 0 meV per atom
DOS(E_F): 4.20 states/eV/f.u.
Symmetry: Pm, No. 6
E_form (uncorrected): 39.98 kJ/mol of atoms

---

Entry 7:
Density functional theory data (PBE) for an optimized crystal structure of Tb6HgAs3Se2.

```
Tb6HgAs3Se2
1.0
4.119 0.000 0.000
0.000 8.380 0.346
-2.059 -2.368 8.727
Hg As Tb Se
1 3 6 2
Direct
0.500 0.000 0.000
0.166 0.835 0.333
0.500 0.500 0.000
0.834 0.165 0.667
0.328 0.916 0.655
0.672 0.084 0.345
0.665 0.592 0.330
0.335 0.408 0.670
0.000 0.734 0.999
0.000 0.266 0.001
0.169 0.339 0.337
0.831 0.661 0.663
```

DOS(E_F): 4.37 states/eV/f.u.
Symmetry: C2/m, No. 12
E_form (uncorrected): -140.42 kJ/mol of atoms

---

Entry 8:
Density functional theory data (PBE) for an optimized crystal structure of SbTe2As.

```
SbTe2As
1.0
3.720 0.000 0.000
0.000 3.719 0.000
0.000 0.000 7.454
As Te Sb
1 2 1
Direct
0.500 0.500 0.250
0.000 0.000 0.014
0.000 0.000 0.486
0.500 0.500 0.750
```

E above lowest polymorph: 264 meV per atom
DOS(E_F): 2.34 states/eV/f.u.
Symmetry: P4/mmm, No. 123
E_form (uncorrected): 30.75 kJ/mol of atoms

---

Entry 9:
Density functional theory data (PBE) for an optimized crystal structure of KY2As.

```
KY2As
1.0
4.889 0.000 0.000
0.000 4.892 0.000
0.000 0.000 4.570
K Y As
1 2 1
Direct
0.000 0.500 0.500
0.500 0.500 0.000
0.000 0.000 0.000
0.500 0.000 0.500
```

DOS(E_F): 3.01 states/eV/f.u.
ΔH_f (0 K): -0.05 eV/atom
Symmetry: P4/mmm, No. 123

---

Entry 10:
Density functional theory data (PBE) for an optimized crystal structure of La2MgH.

```
La2MgH
1.0
3.654 0.003 0.001
1.829 3.163 0.001
1.829 1.056 8.832
H La Mg
1 2 1
Direct
0.666 0.666 0.003
0.057 0.057 0.827
0.277 0.277 0.170
0.500 0.500 0.500
```

E above lowest polymorph: 2 meV per atom
DOS(E_F): 3.43 states/eV/f.u.
Symmetry: R3m, No. 160

---

Entry 11:
Density functional theory data (PBE) for an optimized crystal structure of Sr2In12Sn.

```
Sr2In12Sn
1.0
-1.126 4.615 4.867
-0.270 -4.963 4.643
19.098 1.639 2.863
In Sr Sn
24 4 2
Direct
0.750 0.750 0.894
0.750 0.750 0.106
0.329 0.171 0.566
0.500 0.500 0.201
0.829 0.329 0.566
0.750 0.250 0.894
0.750 0.250 0.106
0.500 0.500 0.651
0.500 0.500 0.349
0.671 0.171 0.434
0.171 0.329 0.434
0.000 0.000 0.201
0.250 0.250 0.106
0.000 0.000 0.349
0.250 0.250 0.894
0.000 0.000 0.799
0.829 0.671 0.434
0.000 0.000 0.651
0.500 0.500 0.799
0.671 0.829 0.566
0.329 0.829 0.434
0.250 0.750 0.106
0.171 0.671 0.566
0.250 0.750 0.894
0.000 0.500 0.730
0.500 0.000 0.730
0.500 0.000 0.270
0.000 0.500 0.270
0.500 0.000 0.000
0.000 0.500 0.000
```

DOS(E_F): 8.52 states/eV/f.u.
ΔH_f (0 K): -0.14 eV/atom
Symmetry: P4/nbm, No. 125

---

Entry 12:
Density functional theory data (PBE) for an optimized crystal structure of Ac4ZnTe2P.

```
Ac4ZnTe2P
1.0
-3.385 1.951 2.270
2.360 -3.752 6.745
3.844 7.182 -0.442
Ac Te P Zn
4 2 1 1
Direct
0.500 0.248 0.228
0.000 0.732 0.223
0.500 0.752 0.772
0.000 0.268 0.777
0.500 0.000 0.500
0.000 0.500 0.500
0.500 0.500 0.000
0.000 0.000 0.000
```

DOS(E_F): 7.65 states/eV/f.u.
Symmetry: P2/m, No. 10
E_form (uncorrected): -111.27 kJ/mol of atoms